(1)
Here is Ho3ErTm5 after structural relaxation from Alexandria via LeMat-Bulk. Energies are from PBE.

## Properties
The value obtained for the total energy is -4.3817 eV/atom. As for the crystal system: orthorhombic. The value obtained for the magnetization is 0.0 μB/f.u.

Cell and atoms, written as CIF:
```
data_Ho3ErTm5
_chemical_formula_sum 'Ho6 Er2 Tm10'
_cell_length_a 9.089
_cell_length_b 10.314
_cell_length_c 7.143
_cell_angle_alpha 110.28
_cell_angle_beta 90.00
_cell_angle_gamma 116.14
_symmetry_space_group_name_H-M 'P 1'
_symmetry_Int_Tables_number 1
_symmetry_space_group_name_Hall 'P 1'
loop_
_atom_site_label
_atom_site_type_symbol
_atom_site_fract_x
_atom_site_fract_y
_atom_site_fract_z
Ho1 Ho 0.810 0.621 0.561
Ho2 Ho 0.189 0.379 0.939
Ho3 Ho 0.000 0.000 0.000
Ho4 Ho 0.000 0.000 0.500
Ho5 Ho 0.190 0.379 0.439
Ho6 Ho 0.811 0.621 0.061
Er1 Er 0.340 0.000 0.250
Er2 Er 0.660 0.000 0.750
Tm1 Tm 0.156 0.677 0.340
Tm2 Tm 0.156 0.677 0.837
Tm3 Tm 0.844 0.323 0.163
Tm4 Tm 0.479 0.323 0.663
Tm5 Tm 0.521 0.677 0.337
Tm6 Tm 0.521 0.677 0.840
Tm7 Tm 0.844 0.323 0.660
Tm8 Tm 0.302 0.000 0.750
Tm9 Tm 0.479 0.323 0.160
Tm10 Tm 0.698 0.000 0.250
```

=====

(2)
Here is TbSm8Tl2 after structural relaxation from Alexandria via LeMat-Bulk. Energies are from PBE.

## Properties
The value obtained for the total energy is -4.3211 eV/atom. As for the crystal system: monoclinic. The value obtained for the magnetization is 0.0 μB/f.u.

Cell and atoms, written as CIF:
```
data_TbSm8Tl2
_chemical_formula_sum 'Tb1 Sm8 Tl2'
_cell_length_a 6.207
_cell_length_b 10.058
_cell_length_c 10.058
_cell_angle_alpha 39.18
_cell_angle_beta 64.73
_cell_angle_gamma 64.73
_symmetry_space_group_name_H-M 'P 1'
_symmetry_Int_Tables_number 1
_symmetry_space_group_name_Hall 'P 1'
loop_
_atom_site_label
_atom_site_type_symbol
_atom_site_fract_x
_atom_site_fract_y
_atom_site_fract_z
Sm1 Sm 0.730 0.509 0.509
Sm2 Sm 0.335 0.126 0.126
Sm3 Sm 0.779 0.434 0.915
Sm4 Sm 0.779 0.915 0.434
Sm5 Sm 0.221 0.566 0.085
Sm6 Sm 0.665 0.874 0.874
Sm7 Sm 0.221 0.085 0.566
Sm8 Sm 0.270 0.491 0.491
Tl1 Tl 0.749 0.323 0.323
Tl2 Tl 0.251 0.677 0.677
Tb1 Tb 0.000 0.000 0.000
```

=====

(3)
Here is CaTaSe2 after structural relaxation from Alexandria via LeMat-Bulk. Energies are from PBE.

## Properties
The value obtained for the total energy is -6.0608 eV/atom. As for the crystal system: trigonal. The raw formation energy is -0.8550 eV per atom. The value obtained for the magnetization is 0.0 μB/f.u.

Cell and atoms, written as CIF:
```
data_CaTaSe2
_chemical_formula_sum 'Ca1 Ta1 Se2'
_cell_length_a 3.864
_cell_length_b 3.864
_cell_length_c 7.001
_cell_angle_alpha 74.01
_cell_angle_beta 74.01
_cell_angle_gamma 59.94
_symmetry_space_group_name_H-M 'P 1'
_symmetry_Int_Tables_number 1
_symmetry_space_group_name_Hall 'P 1'
loop_
_atom_site_label
_atom_site_type_symbol
_atom_site_fract_x
_atom_site_fract_y
_atom_site_fract_z
Se1 Se 0.492 0.492 0.525
Se2 Se 0.008 0.008 0.975
Ta1 Ta 0.750 0.750 0.750
Ca1 Ca 0.250 0.250 0.250
```

=====

(4)
Here is LaTcPtS2 after structural relaxation from Alexandria via LeMat-Bulk. Energies are from PBE.

## Properties
The value obtained for the total energy is -5.4010 eV/atom. As for the crystal system: tetragonal. The raw formation energy is 0.5168 eV per atom. The value obtained for the magnetization is 3.4 μB/f.u.

Cell and atoms, written as CIF:
```
data_LaTcPtS2
_chemical_formula_sum 'La1 Tc1 Pt1 S2'
_cell_length_a 4.779
_cell_length_b 5.362
_cell_length_c 4.779
_cell_angle_alpha 90.00
_cell_angle_beta 90.00
_cell_angle_gamma 90.00
_symmetry_space_group_name_H-M 'P 1'
_symmetry_Int_Tables_number 1
_symmetry_space_group_name_Hall 'P 1'
loop_
_atom_site_label
_atom_site_type_symbol
_atom_site_fract_x
_atom_site_fract_y
_atom_site_fract_z
Pt1 Pt 0.000 0.000 0.000
S1 S 0.000 0.000 0.500
S2 S 0.500 0.000 0.000
Tc1 Tc 0.500 0.500 0.500
La1 La 0.000 0.500 0.000
```